Entry 1:
Density functional theory data (PBE-GGA) for a relaxed SrCaTcIr2 crystal.

Unit cell a=4.9107 b=4.9107 c=5.0353 alpha=90.00 beta=90.00 gamma=90.00
Closest atoms and distances in Å follow each position.
Space group P4/mmm (No. 123)
Inequivalent atoms, fractional coordinates:
Sr  0.0000  0.0000  0.0000 (multiplicity 1)  4 Ir 2.46, 2 Ca 2.52
Ca  0.0000  0.0000  0.5000 (multiplicity 1)  2 Sr 2.52
Tc  0.5000  0.5000  0.5000 (multiplicity 1)  4 Ca 3.47, 8 Ir 3.52
Ir  0.0000  0.5000  0.0000 (multiplicity 2)  2 Sr 2.46

Calculated values
Total magnetization   0.7 μB per formula unit
DFT total energy   -3.914 eV per atom
Calculated formation energy   2.44 eV/atom

=====

Entry 2:
Density functional theory data (PBE-GGA) for a relaxed Sr2CaTeIr crystal.

Unit cell a=5.7614 b=5.7614 c=5.4100 alpha=90.00 beta=90.00 gamma=90.00
Closest atoms and distances in Å follow each position.
Space group P4/mmm (No. 123)
Inequivalent atoms, fractional coordinates:
Sr  0.0000  0.5000  0.0000 (multiplicity 2)  2 Ir 2.88
Ca  0.0000  0.0000  0.5000 (multiplicity 1)  2 Ir 2.71
Te  0.5000  0.5000  0.5000 (multiplicity 1)  8 Sr 3.95, 4 Ca 4.07
Ir  0.0000  0.0000  0.0000 (multiplicity 1)  2 Ca 2.71, 4 Sr 2.88

Calculated values
Uncorrected formation energy   -266.6 kJ/mol of formula units
Total magnetization   0.0 μB per formula unit
DFT total energy   -4.026 eV per atom

=====

Entry 3:
Density functional theory data (PBE-GGA) for a relaxed Sr2CaTlIr crystal.

Unit cell a=5.8250 b=5.8250 c=5.4880 alpha=90.00 beta=90.00 gamma=90.00
Closest atoms and distances in Å follow each position.
Space group P4/mmm (No. 123)
Inequivalent atoms, fractional coordinates:
Sr  0.0000  0.5000  0.0000 (multiplicity 2)  2 Ir 2.91
Ca  0.0000  0.0000  0.5000 (multiplicity 1)  2 Ir 2.74
Tl  0.5000  0.5000  0.5000 (multiplicity 1)  8 Sr 4.00, 4 Ca 4.12
Ir  0.0000  0.0000  0.0000 (multiplicity 1)  2 Ca 2.74, 4 Sr 2.91

Calculated values
Total magnetization   0.0 μB per formula unit
DFT total energy   -3.503 eV per atom
Calculated formation energy   -0.18 eV/atom

=====

Entry 4:
Density functional theory data (PBE-GGA) for a relaxed SrCaY2Ir crystal.

Unit cell a=5.4631 b=5.4631 c=5.9845 alpha=90.00 beta=90.00 gamma=90.00
Closest atoms and distances in Å follow each position.
Space group P4/mmm (No. 123)
Inequivalent atoms, fractional coordinates:
Sr  0.0000  0.0000  0.0000 (multiplicity 1)  2 Ir 2.99
Ca  0.5000  0.5000  0.0000 (multiplicity 1)  4 Sr 3.86, 8 Y 4.05
Y  0.0000  0.5000  0.5000 (multiplicity 2)  2 Ir 2.73
Ir  0.0000  0.0000  0.5000 (multiplicity 1)  4 Y 2.73, 2 Sr 2.99

Calculated values
Total magnetization   0.0 μB per formula unit
Energy above the most stable polymorph in this dataset   63 meV/atom
DFT total energy   -5.347 eV per atom
Calculated formation energy   -0.25 eV/atom

=====

Entry 5:
Density functional theory data (PBE-GGA) for a relaxed SrCaY2Ir crystal.

Unit cell a=5.4729 b=5.4729 c=5.7914 alpha=90.00 beta=90.00 gamma=90.00
Closest atoms and distances in Å follow each position.
Space group P4/mmm (No. 123)
Inequivalent atoms, fractional coordinates:
Sr  0.0000  0.0000  0.0000 (multiplicity 1)  4 Ca 3.87, 8 Y 3.98
Ca  0.5000  0.5000  0.0000 (multiplicity 1)  2 Ir 2.90
Y  0.0000  0.5000  0.5000 (multiplicity 2)  2 Ir 2.74
Ir  0.5000  0.5000  0.5000 (multiplicity 1)  4 Y 2.74, 2 Ca 2.90

Calculated values
Total magnetization   0.0 μB per formula unit
Energy above the most stable polymorph in this dataset   0 meV/atom
DFT total energy   -5.410 eV per atom
Calculated formation energy   -0.32 eV/atom

=====

Entry 6:
Density functional theory data (PBE-GGA) for a relaxed Sr2CaYIr crystal.

Unit cell a=5.9689 b=5.9689 c=5.4291 alpha=90.00 beta=90.00 gamma=90.00
Closest atoms and distances in Å follow each position.
Space group P4/mmm (No. 123)
Inequivalent atoms, fractional coordinates:
Sr  0.0000  0.5000  0.0000 (multiplicity 2)  2 Ir 2.98
Ca  0.0000  0.0000  0.5000 (multiplicity 1)  8 Sr 4.03, 4 Y 4.22
Y  0.5000  0.5000  0.5000 (multiplicity 1)  2 Ir 2.71
Ir  0.5000  0.5000  0.0000 (multiplicity 1)  2 Y 2.71, 4 Sr 2.98

Calculated values
Total magnetization   0.0 μB per formula unit
DFT total energy   -4.304 eV per atom
Calculated formation energy   -0.17 eV/atom

=====

Entry 7:
Density functional theory data (PBE-GGA) for a relaxed SrCaY2Ir crystal.

Unit cell a=5.3462 b=5.3462 c=5.1550 alpha=90.00 beta=90.00 gamma=90.00
Closest atoms and distances in Å follow each position.
Space group P4/mmm (No. 123)
Inequivalent atoms, fractional coordinates:
Sr  0.0000  0.0000  0.0000 (multiplicity 1)  2 Ca 2.58, 4 Y 2.67
Ca  0.0000  0.0000  0.5000 (multiplicity 1)  2 Sr 2.58
Y  0.0000  0.5000  0.0000 (multiplicity 2)  2 Sr 2.67
Ir  0.5000  0.5000  0.5000 (multiplicity 1)  8 Y 3.71, 4 Ca 3.78

Calculated values
Total magnetization   0.4 μB per formula unit
Energy above the most stable polymorph in this dataset   1999 meV/atom
DFT total energy   -3.411 eV per atom
Calculated formation energy   1.68 eV/atom

=====

Entry 8:
Density functional theory data (PBE-GGA) for a relaxed SrCaZnIr crystal.

Unit cell a=7.2387 b=7.2387 c=7.2387 alpha=90.00 beta=90.00 gamma=90.00
Closest atoms and distances in Å follow each position.
Space group F-43m (No. 216)
Inequivalent atoms, fractional coordinates:
Sr  0.0000  0.0000  0.0000 (multiplicity 4)  4 Ir 3.13, 4 Zn 3.13
Ca  0.0000  0.0000  0.5000 (multiplicity 4)  4 Zn 3.13, 4 Ir 3.13
Zn  0.2500  0.2500  0.2500 (multiplicity 4)  4 Sr 3.13, 4 Ca 3.13
Ir  0.2500  0.2500  0.7500 (multiplicity 4)  4 Ca 3.13, 4 Sr 3.13

Calculated values
Total magnetization   0.0 μB per formula unit
Energy above the most stable polymorph in this dataset   191 meV/atom
DFT total energy   -3.585 eV per atom
Calculated formation energy   -0.13 eV/atom

=====

Copy entry 1 word for word.
Density functional theory data (PBE-GGA) for a relaxed SrCaTcIr2 crystal.

Unit cell a=4.9107 b=4.9107 c=5.0353 alpha=90.00 beta=90.00 gamma=90.00
Closest atoms and distances in Å follow each position.
Space group P4/mmm (No. 123)
Inequivalent atoms, fractional coordinates:
Sr  0.0000  0.0000  0.0000 (multiplicity 1)  4 Ir 2.46, 2 Ca 2.52
Ca  0.0000  0.0000  0.5000 (multiplicity 1)  2 Sr 2.52
Tc  0.5000  0.5000  0.5000 (multiplicity 1)  4 Ca 3.47, 8 Ir 3.52
Ir  0.0000  0.5000  0.0000 (multiplicity 2)  2 Sr 2.46

Calculated values
Total magnetization   0.7 μB per formula unit
DFT total energy   -3.914 eV per atom
Calculated formation energy   2.44 eV/atom

=====

- Which value of total magnetization does entry 5 give?
  0.0 μB per formula unit

=====

- Which value of DFT total energy does entry 4 give?
  -5.347 eV per atom

=====

- What is the total magnetization in the third record?
  0.0 μB per formula unit